Record 1
# RbDyHgO3

An optimized crystal structure of RbDyHgO3 (PBE-GGA, Alexandria).

```
12
Lattice="7.291 0.000 0.000 0.000 3.595 0.000 -1.929 0.000 9.250" Properties=species:S:1:pos:R:3 pbc="T T T"
Rb -0.384 0.899 3.075
Rb 5.747 2.696 6.175
Dy 2.147 0.899 6.015
Dy 3.215 2.696 3.235
Hg 2.185 0.899 0.013
Hg 3.177 2.696 9.237
O 0.239 0.899 7.275
O 1.499 2.696 4.772
O 2.212 0.899 2.029
O 3.150 2.696 7.221
O 3.863 0.899 4.478
O 5.124 2.696 1.975
```

Values from the calculation:
theoretical density	6.80	g/cm3
ΔE_f (raw)	-1132	kJ/mol of formula units

***

Record 2
# Hf4Cd5Co2

An optimized crystal structure of Hf4Cd5Co2 (PBE-GGA, Alexandria).

```
11
Lattice="7.489 0.000 0.000 0.000 3.249 0.000 -0.656 0.000 9.008" Properties=species:S:1:pos:R:3 pbc="T T T"
Hf 1.062 0.000 3.012
Hf 0.864 0.000 8.492
Hf 5.970 0.000 0.516
Hf 5.772 0.000 5.996
Cd 0.843 1.625 5.755
Cd 3.349 1.625 1.495
Cd 3.417 1.625 4.504
Cd 3.485 1.625 7.513
Cd 5.991 1.625 3.253
Co 0.478 1.625 1.215
Co 6.356 1.625 7.793
```

Values from the calculation:
theoretical density	10.56	g/cm3
E_form	-18	kJ per mole of atoms